PmNdSiHg PBE optimized geometry; calculated density = 8.35 g/cm³; SG = F-43m (216); total DFT energy (no corrections) = -4.2783 eV/atom; D(E_F) = 3.25 states/eV/f.u.
1.0
7.442 0.000 0.000
0.000 7.442 0.000
0.000 0.000 7.442
Pm Nd Si Hg
4 4 4 4
Direct
0.000 0.000 0.000
0.000 0.500 0.500
0.500 0.000 0.500
0.500 0.500 0.000
0.000 0.000 0.500
0.000 0.500 0.000
0.500 0.000 0.000
0.500 0.500 0.500
0.250 0.250 0.750
0.250 0.750 0.250
0.750 0.250 0.250
0.750 0.750 0.750
0.250 0.250 0.250
0.250 0.750 0.750
0.750 0.250 0.750
0.750 0.750 0.250